# PmPuGaBi PBE-GGA optimized geometry
data_PmPuGaBi
_chemical_formula_sum 'Pm4 Pu4 Ga4 Bi4'
_cell_length_a 7.586
_cell_length_b 7.586
_cell_length_c 7.586
_cell_angle_alpha 90.00
_cell_angle_beta 90.00
_cell_angle_gamma 90.00
_space_group_name_H-M_alt 'F -4 3 m'
_space_group_IT_number 216
_space_group_name_Hall 'F -4 2 3'
loop_
_atom_site_label
_atom_site_fract_x
_atom_site_fract_y
_atom_site_fract_z
_atom_site_occupancy
Pm1 0.000 0.000 0.000 1
Pu1 0.000 0.000 0.500 1
Ga1 0.250 0.250 0.750 1
Bi1 0.250 0.250 0.250 1
# D(E_F)	46.3	states/eV per cell
# volume	109.2	Å³/f.u.
# E	-109.61	eV for the cell shown